Material: Li5Ga6
Method: DFT, PBE
State: optimized geometry Values from VASP.

```
&SYSTEM
  ibrav = 0, nat = 11, ntyp = 2
/
ATOMIC_SPECIES
Li 6.94 Li.upf
Ga 69.72 Ga.upf
CELL_PARAMETERS angstrom
-0.440 2.302 1.838
-4.020 0.385 -1.445
-2.531 -9.224 10.951
ATOMIC_POSITIONS crystal
Li 0.000 0.629 0.257
Li 0.500 0.189 0.378
Li 0.000 0.371 0.743
Li 0.000 0.000 0.000
Li 0.500 0.811 0.622
Ga 0.000 0.276 0.551
Ga 0.500 0.544 0.088
Ga 0.500 0.456 0.912
Ga 0.500 0.907 0.814
Ga 0.500 0.093 0.186
Ga 0.000 0.724 0.449
```

Calculated values
**Total magnetic moment**: 0.00 μB/f.u.
**E_form**: -0.277 eV/atom
**D(E_F)**: 3.21 states/eV per cell
**Volume**: 16.70 A^3/atom